This record from Alexandria describes Ba2HoSn3Pt4 after structural relaxation. The functional is PBE.

Values from the calculation:
DOS at the Fermi energy (states/eV/cell): 4.7
Energy relative to the elements (kcal/mol of atoms): -20.0
Total DFT energy (no corrections) (eV for the cell shown): -53.29

Unit cell a=4.761 b=4.761 c=11.182 alpha=90.00 beta=90.00 gamma=90.00
Element x y z (fractional)
Ba1 0.000 0.500 0.235
Ba2 0.500 0.000 0.765
Ho1 0.000 0.000 0.500
Sn1 0.000 0.500 0.882
Sn2 0.500 0.000 0.118
Sn3 0.500 0.500 0.500
Pt1 0.000 0.000 0.000
Pt2 0.000 0.500 0.637
Pt3 0.500 0.000 0.363
Pt4 0.500 0.500 0.000

***

This record from Alexandria describes Mg2HgSe after structural relaxation. The functional is PBE.

Values from the calculation:
DOS at the Fermi energy (states/eV/cell): 1.9
ΔE to the lowest computed polymorph (meV/atom): 93
E_form (uncorrected) (eV/atom): -0.472
Total DFT energy (no corrections) (eV for the cell shown): -8.86

Unit cell a=3.896 b=3.896 c=6.269 alpha=90.00 beta=90.00 gamma=90.00
Element x y z (fractional)
Mg1 0.000 0.000 0.000
Mg2 0.500 0.500 0.424
Hg1 0.500 0.500 0.913
Se1 0.000 0.000 0.432

***

This record from Alexandria describes ZrNbNi2 after structural relaxation. The functional is PBE.

Values from the calculation:
DOS at the Fermi energy (states/eV/cell): 4.3
Energy relative to the elements (kcal/mol of atoms): -4.5
ΔE to the lowest computed polymorph (meV/atom): 0
Total DFT energy (no corrections) (eV for the cell shown): -30.96

Unit cell a=3.146 b=3.146 c=6.373 alpha=90.00 beta=90.00 gamma=90.00
Element x y z (fractional)
Zr1 0.000 0.000 0.000
Nb1 0.000 0.000 0.500
Ni1 0.500 0.500 0.286
Ni2 0.500 0.500 0.714

***

This record from Alexandria describes YTaI2 after structural relaxation. The functional is PBE.

Values from the calculation:
DOS at the Fermi energy (states/eV/cell): 15.6
ΔE to the lowest computed polymorph (meV/atom): 0
E_form (uncorrected) (eV/atom): 0.346
Total DFT energy (no corrections) (eV for the cell shown): -80.13

Unit cell a=7.293 b=7.293 c=7.293 alpha=90.00 beta=90.00 gamma=90.00
Element x y z (fractional)
Y1 0.000 0.000 0.000
Y2 0.000 0.500 0.500
Y3 0.500 0.000 0.500
Y4 0.500 0.500 0.000
Ta1 0.000 0.000 0.500
Ta2 0.000 0.500 0.000
Ta3 0.500 0.000 0.000
Ta4 0.500 0.500 0.500
I1 0.250 0.250 0.250
I2 0.250 0.250 0.750
I3 0.250 0.750 0.250
I4 0.250 0.750 0.750
I5 0.750 0.250 0.250
I6 0.750 0.250 0.750
I7 0.750 0.750 0.250
I8 0.750 0.750 0.750